1.
A plane-wave DFT calculation with PBE was carried out for a geometry-optimized ScW2Se structure.

Lattice parameters (Å, degrees): 3.3795 4.9860 8.4241 90.00 90.00 90.00
Positions (direct):
Sc (0.0000, 0.0000, 0.0000)
Sc (0.5000, 0.5000, 0.0000)
W (0.0000, 0.0000, 0.5068)
W (0.0000, 0.5000, 0.2724)
W (0.5000, 0.0000, 0.2724)
W (0.5000, 0.5000, 0.5068)
Se (0.0000, 0.5000, 0.7613)
Se (0.5000, 0.0000, 0.7613)

* space group: Cmm2 (35)
* crystal system: orthorhombic
* raw formation energy: 114.3 meV/atom

2.
A plane-wave DFT calculation with PBE was carried out for a geometry-optimized TlZnIn2 structure.

Lattice parameters (Å, degrees): 3.6856 3.6856 7.5238 90.00 90.00 90.00
Positions (direct):
Tl (0.0000, 0.0000, 0.0000)
Zn (0.5000, 0.5000, 0.2446)
In (0.0000, 0.0000, 0.4491)
In (0.5000, 0.5000, 0.7136)

* formation enthalpy at 0 K: 0.083 eV per atom
* space group: P4mm (99)
* crystal system: tetragonal

3.
A plane-wave DFT calculation with PBE was carried out for a geometry-optimized YMn2Re structure.

Lattice parameters (Å, degrees): 4.1700 4.1700 14.7927 90.00 90.00 120.00
Positions (direct):
Y (0.0000, 0.0000, 0.0000)
Y (0.3333, 0.6667, 0.6667)
Y (0.6667, 0.3333, 0.3333)
Mn (0.0000, 0.0000, 0.2017)
Mn (0.0000, 0.0000, 0.7983)
Mn (0.3333, 0.6667, 0.4650)
Mn (0.3333, 0.6667, 0.8683)
Mn (0.6667, 0.3333, 0.1317)
Mn (0.6667, 0.3333, 0.5350)
Re (0.0000, 0.0000, 0.5000)
Re (0.3333, 0.6667, 0.1667)
Re (0.6667, 0.3333, 0.8333)

* formation enthalpy at 0 K: 0.154 eV per atom
* space group: R-3m (166)
* excess energy over the best structure of this formula in the dataset: 0.0000 eV/atom
* crystal system: trigonal

4.
A plane-wave DFT calculation with PBE was carried out for a geometry-optimized NaHfMo2Au structure.

Lattice parameters (Å, degrees): 4.7769 4.7769 5.2716 90.00 90.00 90.00
Positions (direct):
Na (0.0000, 0.0000, 0.0000)
Hf (0.0000, 0.0000, 0.5000)
Mo (0.0000, 0.5000, 0.5000)
Mo (0.5000, 0.0000, 0.5000)
Au (0.5000, 0.5000, 0.0000)

* formation enthalpy at 0 K: 1.781 eV per atom
* space group: P4/mmm (123)
* crystal system: tetragonal

5.
A plane-wave DFT calculation with PBE was carried out for a geometry-optimized ScAl5 structure.

Lattice parameters (Å, degrees): 5.3746 5.3746 4.4052 90.00 90.00 120.00
Positions (direct):
Sc (0.0000, 0.0000, 0.0000)
Al (0.0000, 0.5000, 0.5000)
Al (0.3333, 0.6667, 0.0000)
Al (0.5000, 0.0000, 0.5000)
Al (0.5000, 0.5000, 0.5000)
Al (0.6667, 0.3333, 0.0000)

* formation enthalpy at 0 K: -0.074 eV per atom
* space group: P6/mmm (191)
* excess energy over the best structure of this formula in the dataset: 0.1779 eV/atom
* crystal system: hexagonal

6.
A plane-wave DFT calculation with PBE was carried out for a geometry-optimized RbCaAl2I8 structure.

Lattice parameters (Å, degrees): 11.7494 11.7494 11.7494 37.55 37.55 37.55
Positions (direct):
Rb (0.0000, 0.0000, 0.0000)
Ca (0.5000, 0.5000, 0.5000)
Al (0.2478, 0.2478, 0.2478)
Al (0.7522, 0.7522, 0.7522)
I (0.1105, 0.4319, 0.7853)
I (0.2147, 0.8895, 0.5681)
I (0.3272, 0.3272, 0.3272)
I (0.4319, 0.7853, 0.1105)
I (0.5681, 0.2147, 0.8895)
I (0.6728, 0.6728, 0.6728)
I (0.7853, 0.1105, 0.4319)
I (0.8895, 0.5681, 0.2147)

* space group: R-3 (148)
* crystal system: trigonal
* raw formation energy: -889.8 meV/atom

7.
A plane-wave DFT calculation with PBE was carried out for a geometry-optimized LiIrSe structure.

Lattice parameters (Å, degrees): 2.9460 5.0197 12.9065 90.00 90.00 90.00
Positions (direct):
Li (0.0000, 0.0000, 0.0000)
Li (0.0000, 0.5000, 0.5000)
Li (0.5000, 0.0000, 0.5000)
Li (0.5000, 0.5000, 0.0000)
Ir (0.0000, 0.0000, 0.3338)
Ir (0.0000, 0.5000, 0.8338)
Ir (0.5000, 0.0000, 0.8338)
Ir (0.5000, 0.5000, 0.3338)
Se (0.0000, 0.0000, 0.6731)
Se (0.0000, 0.5000, 0.1731)
Se (0.5000, 0.0000, 0.1731)
Se (0.5000, 0.5000, 0.6731)

* space group: Fmm2 (42)
* excess energy over the best structure of this formula in the dataset: 0.3754 eV/atom
* crystal system: orthorhombic
* raw formation energy: 172.2 meV/atom

8.
A plane-wave DFT calculation with PBE was carried out for a geometry-optimized Sc2TiAlO6 structure.

Lattice parameters (Å, degrees): 5.0178 5.0178 4.7450 90.00 90.00 90.00
Positions (direct):
Sc (0.0000, 0.5000, 0.0000)
Sc (0.5000, 0.0000, 0.0000)
Ti (0.0000, 0.0000, 0.5869)
Al (0.5000, 0.5000, 0.6158)
O (0.0000, 0.0000, 0.2068)
O (0.2550, 0.2550, 0.7595)
O (0.2550, 0.7450, 0.7595)
O (0.5000, 0.5000, 0.2430)
O (0.7450, 0.2550, 0.7595)
O (0.7450, 0.7450, 0.7595)

* space group: P4mm (99)
* crystal system: tetragonal
* raw formation energy: -2946.7 meV/atom

Number 1: volume 141.95 Å³/cell, total moment 0.0 μB/f.u., DOS(E_F) 5.50 states/eV/cell. Number 2: volume 102.20 Å³/cell, total moment 0.0 μB/f.u., DOS(E_F) 1.56 states/eV/cell. Number 3: volume 222.77 Å³/cell, total moment 4.2 μB/f.u., DOS(E_F) 9.84 states/eV/cell. Number 4: volume 120.29 Å³/cell, total moment 0.0 μB/f.u., DOS(E_F) 6.57 states/eV/cell. Number 5: volume 110.20 Å³/cell, total moment 0.0 μB/f.u., DOS(E_F) 3.83 states/eV/cell. Number 6: volume 540.28 Å³/cell, total moment 0.3 μB/f.u., DOS(E_F) 6.80 states/eV/cell. Number 7: volume 190.86 Å³/cell, total moment 0.0 μB/f.u., DOS(E_F) 6.86 states/eV/cell. Number 8: volume 119.47 Å³/cell, total moment 1.0 μB/f.u., DOS(E_F) 2.94 states/eV/cell.